1.
The following is a DFT calculation (PBE) of a relaxed GdTiTlHg crystal.

Properties
Energy of formation   -0.11 eV per atom
Total energy   -6.28 eV/atom
Theoretical density   10.65 g cm⁻³

a = 7.246 Å, b = 7.246 Å, c = 7.246 Å
α = 90.00°, β = 90.00°, γ = 90.00°
Space group F-43m (No. 216)
Unique sites:
Gd1 0.000 0.000 0.000 x4
Ti1 0.000 0.000 0.500 x4
Tl1 0.250 0.250 0.250 x4
Hg1 0.250 0.250 0.750 x4



2.
The following is a DFT calculation (PBE) of a relaxed GdTiZnHg crystal.

Properties
Energy of formation   -0.14 eV per atom
Total energy   -6.03 eV/atom
Theoretical density   9.10 g cm⁻³

a = 7.006 Å, b = 7.006 Å, c = 7.006 Å
α = 90.00°, β = 90.00°, γ = 90.00°
Space group F-43m (No. 216)
Unique sites:
Gd1 0.000 0.000 0.000 x4
Ti1 0.000 0.000 0.500 x4
Zn1 0.250 0.250 0.250 x4
Hg1 0.250 0.250 0.750 x4



3.
The following is a DFT calculation (PBE) of a relaxed Gd2TlHg crystal.

Properties
Energy of formation   -0.46 eV per atom
Total energy   -8.17 eV/atom
Theoretical density   11.01 g cm⁻³

a = 7.573 Å, b = 7.573 Å, c = 7.573 Å
α = 90.00°, β = 90.00°, γ = 90.00°
Space group Fm-3m (No. 225)
Unique sites:
Gd1 0.250 0.250 0.250 x8
Tl1 0.000 0.000 0.000 x4
Hg1 0.000 0.000 0.500 x4



4.
The following is a DFT calculation (PBE) of a relaxed GdTl2Hg crystal.

Properties
Energy of formation   -0.14 eV per atom
Total energy   -4.91 eV/atom
Theoretical density   11.62 g cm⁻³

a = 3.917 Å, b = 3.917 Å, c = 7.140 Å
α = 90.00°, β = 90.00°, γ = 90.00°
Space group P4/mmm (No. 123)
Unique sites:
Gd1 0.000 0.000 0.000 x1
Tl1 0.500 0.500 0.263 x2
Hg1 0.000 0.000 0.500 x1



5.
The following is a DFT calculation (PBE) of a relaxed GdTl2Hg crystal.

Properties
Energy of formation   0.11 eV per atom
Total energy   -4.67 eV/atom
Theoretical density   10.38 g cm⁻³

a = 3.5116 Å, b = 3.5116 Å, c = 34.4566 Å
α = 90.00°, β = 90.00°, γ = 120.00°
Space group R-3m (No. 166, hexagonal axes)
Unique sites:
Gd1 0.0000 0.0000 0.0000 x3
Tl1 0.0000 0.0000 0.0919 x6
Hg1 0.0000 0.0000 0.5000 x3



6.
The following is a DFT calculation (PBE) of a relaxed Gd2TlHg crystal.

Properties
Energy of formation   -0.31 eV per atom
Total energy   -8.02 eV/atom
Theoretical density   10.14 g cm⁻³

a = 3.7906 Å, b = 3.7906 Å, c = 28.4070 Å
α = 90.00°, β = 90.00°, γ = 120.00°
Space group R-3m (No. 166, hexagonal axes)
Unique sites:
Gd1 0.0000 0.0000 0.2477 x6
Tl1 0.0000 0.0000 0.0000 x3
Hg1 0.0000 0.0000 0.5000 x3



7.
The following is a DFT calculation (PBE) of a relaxed GdTlHg4 crystal.

Properties
Energy of formation   -0.10 eV per atom
Total energy   -3.04 eV/atom
Theoretical density   12.23 g cm⁻³

a = 8.583 Å, b = 8.583 Å, c = 8.583 Å
α = 90.00°, β = 90.00°, γ = 90.00°
Space group F-43m (No. 216)
Unique sites:
Gd1 0.000 0.000 0.000 x4
Tl1 0.250 0.250 0.750 x4
Hg1 0.125 0.125 0.375 x16



8.
The following is a DFT calculation (PBE) of a relaxed Gd2TlHg crystal.

Properties
Energy of formation   -0.46 eV per atom
Total energy   -8.17 eV/atom
Theoretical density   11.00 g cm⁻³

a = 3.766 Å, b = 3.766 Å, c = 7.654 Å
α = 90.00°, β = 90.00°, γ = 90.00°
Space group P4/mmm (No. 123)
Unique sites:
Gd1 0.000 0.000 0.243 x2
Tl1 0.500 0.500 0.500 x1
Hg1 0.500 0.500 0.000 x1



9.
The following is a DFT calculation (PBE) of a relaxed GdTl2Hg crystal.

Properties
Energy of formation   -0.15 eV per atom
Total energy   -4.92 eV/atom
Theoretical density   11.77 g cm⁻³

a = 7.564 Å, b = 7.564 Å, c = 7.564 Å
α = 90.00°, β = 90.00°, γ = 90.00°
Space group Fm-3m (No. 225)
Unique sites:
Gd1 0.000 0.000 0.000 x4
Tl1 0.250 0.250 0.250 x8
Hg1 0.000 0.000 0.500 x4



10.
The following is a DFT calculation (PBE) of a relaxed GdTlHg2 crystal.

Properties
Energy of formation   -0.30 eV per atom
Total energy   -4.57 eV/atom
Theoretical density   12.37 g cm⁻³

a = 4.699 Å, b = 4.699 Å, c = 4.638 Å
α = 90.00°, β = 90.00°, γ = 90.00°
Space group P4/mmm (No. 123)
Unique sites:
Gd1 0.000 0.000 0.000 x1
Tl1 0.500 0.500 0.000 x1
Hg1 0.000 0.500 0.500 x2



11.
The following is a DFT calculation (PBE) of a relaxed GdTlHg2 crystal.

Properties
Energy of formation   -0.28 eV per atom
Total energy   -4.54 eV/atom
Theoretical density   11.90 g cm⁻³

a = 3.870 Å, b = 3.870 Å, c = 7.107 Å
α = 90.00°, β = 90.00°, γ = 90.00°
Space group P4/mmm (No. 123)
Unique sites:
Gd1 0.000 0.000 0.000 x1
Tl1 0.000 0.000 0.500 x1
Hg1 0.500 0.500 0.240 x2



12.
The following is a DFT calculation (PBE) of a relaxed GdTl2Hg crystal.

Properties
Energy of formation   -0.28 eV per atom
Total energy   -5.06 eV/atom
Theoretical density   12.04 g cm⁻³

a = 4.741 Å, b = 4.741 Å, c = 4.702 Å
α = 90.00°, β = 90.00°, γ = 90.00°
Space group P4/mmm (No. 123)
Unique sites:
Gd1 0.000 0.000 0.000 x1
Tl1 0.000 0.500 0.500 x2
Hg1 0.500 0.500 0.000 x1



13.
The following is a DFT calculation (PBE) of a relaxed Gd2TmHg crystal.

Properties
Energy of formation   -0.09 eV per atom
Total energy   -8.32 eV/atom
Theoretical density   10.11 g cm⁻³

a = 7.660 Å, b = 7.660 Å, c = 7.660 Å
α = 90.00°, β = 90.00°, γ = 90.00°
Space group Fm-3m (No. 225)
Unique sites:
Gd1 0.250 0.250 0.250 x8
Tm1 0.000 0.000 0.000 x4
Hg1 0.000 0.000 0.500 x4



14.
The following is a DFT calculation (PBE) of a relaxed GdTm2Hg crystal.

Properties
Energy of formation   -0.22 eV per atom
Total energy   -6.05 eV/atom
Theoretical density   10.24 g cm⁻³

a = 3.560 Å, b = 3.560 Å, c = 8.901 Å
α = 90.00°, β = 90.00°, γ = 90.00°
Space group P4/mmm (No. 123)
Unique sites:
Gd1 0.000 0.000 0.000 x1
Tm1 0.500 0.500 0.280 x2
Hg1 0.000 0.000 0.500 x1



15.
The following is a DFT calculation (PBE) of a relaxed GdTmHg crystal.

Properties
Energy of formation   -0.12 eV per atom
Total energy   -6.41 eV/atom
Theoretical density   9.40 g cm⁻³

a = 7.194 Å, b = 7.194 Å, c = 7.194 Å
α = 90.00°, β = 90.00°, γ = 90.00°
Space group F-43m (No. 216)
Unique sites:
Gd1 0.000 0.000 0.000 x4
Tm1 0.000 0.000 0.500 x4
Hg1 0.250 0.250 0.750 x4



16.
The following is a DFT calculation (PBE) of a relaxed Gd2TmHg crystal.

Properties
Energy of formation   -0.22 eV per atom
Total energy   -8.45 eV/atom
Theoretical density   9.74 g cm⁻³

a = 3.620 Å, b = 3.620 Å, c = 8.903 Å
α = 90.00°, β = 90.00°, γ = 90.00°
Space group P4/mmm (No. 123)
Unique sites:
Gd1 0.000 0.000 0.227 x2
Tm1 0.500 0.500 0.500 x1
Hg1 0.500 0.500 0.000 x1



17.
The following is a DFT calculation (PBE) of a relaxed GdTm2Hg crystal.

Properties
Energy of formation   -0.16 eV per atom
Total energy   -5.99 eV/atom
Theoretical density   9.99 g cm⁻³

a = 3.5675 Å, b = 3.5675 Å, c = 31.4761 Å
α = 90.00°, β = 90.00°, γ = 120.00°
Space group R-3m (No. 166, hexagonal axes)
Unique sites:
Gd1 0.0000 0.0000 0.0000 x3
Tm1 0.0000 0.0000 0.2421 x6
Hg1 0.0000 0.0000 0.5000 x3



18.
The following is a DFT calculation (PBE) of a relaxed GdTmHg crystal.

Properties
Energy of formation   -0.32 eV per atom
Total energy   -6.61 eV/atom
Theoretical density   10.49 g cm⁻³

a = 3.619 Å, b = 3.619 Å, c = 12.737 Å
α = 90.00°, β = 90.00°, γ = 90.00°
Space group I4mm (No. 107)
Unique sites:
Gd1 0.000 0.000 0.000 x2
Tm1 0.000 0.000 0.693 x2
Hg1 0.000 0.000 0.337 x2



19.
The following is a DFT calculation (PBE) of a relaxed Gd2TmHg crystal.

Properties
Energy of formation   0.10 eV per atom
Total energy   -8.13 eV/atom
Theoretical density   8.94 g cm⁻³

a = 3.5033 Å, b = 3.5033 Å, c = 35.8409 Å
α = 90.00°, β = 90.00°, γ = 120.00°
Space group R-3m (No. 166, hexagonal axes)
Unique sites:
Gd1 0.0000 0.0000 0.0886 x6
Tm1 0.0000 0.0000 0.5000 x3
Hg1 0.0000 0.0000 0.0000 x3



20.
The following is a DFT calculation (PBE) of a relaxed GdTm2Hg crystal.

Properties
Energy of formation   -0.17 eV per atom
Total energy   -6.00 eV/atom
Theoretical density   10.63 g cm⁻³

a = 4.799 Å, b = 4.799 Å, c = 4.719 Å
α = 90.00°, β = 90.00°, γ = 90.00°
Space group P4/mmm (No. 123)
Unique sites:
Gd1 0.000 0.000 0.000 x1
Tm1 0.000 0.500 0.500 x2
Hg1 0.500 0.500 0.000 x1



21.
The following is a DFT calculation (PBE) of a relaxed GdTmHg crystal.

Properties
Energy of formation   -0.20 eV per atom
Total energy   -6.48 eV/atom
Theoretical density   10.40 g cm⁻³

a = 5.1177 Å, b = 5.1177 Å, c = 3.7082 Å
α = 90.00°, β = 90.00°, γ = 120.00°
Space group P3m1 (No. 156)
Unique sites:
Gd1 0.0000 0.0000 0.0000 x1
Tm1 0.3333 0.6667 0.5301 x1
Hg1 0.6667 0.3333 0.3790 x1



22.
The following is a DFT calculation (PBE) of a relaxed Gd2TmHg crystal.

Properties
Energy of formation   -0.18 eV per atom
Total energy   -8.41 eV/atom
Theoretical density   10.20 g cm⁻³

a = 4.785 Å, b = 4.785 Å, c = 4.864 Å
α = 90.00°, β = 90.00°, γ = 90.00°
Space group P4/mmm (No. 123)
Unique sites:
Gd1 0.000 0.500 0.000 x2
Tm1 0.000 0.000 0.500 x1
Hg1 0.500 0.500 0.500 x1



23.
The following is a DFT calculation (PBE) of a relaxed GdYTmHg crystal.

Properties
Energy of formation   -0.08 eV per atom
Total energy   -6.40 eV/atom
Theoretical density   9.14 g cm⁻³

a = 7.648 Å, b = 7.648 Å, c = 7.648 Å
α = 90.00°, β = 90.00°, γ = 90.00°
Space group F-43m (No. 216)
Unique sites:
Gd1 0.000 0.000 0.000 x4
Y1 0.000 0.000 0.500 x4
Tm1 0.250 0.250 0.750 x4
Hg1 0.250 0.250 0.250 x4



24.
The following is a DFT calculation (PBE) of a relaxed GdZnHg crystal.

Properties
Energy of formation   -0.24 eV per atom
Total energy   -5.46 eV/atom
Theoretical density   9.45 g cm⁻³

a = 6.677 Å, b = 6.677 Å, c = 6.677 Å
α = 90.00°, β = 90.00°, γ = 90.00°
Space group F-43m (No. 216)
Unique sites:
Gd1 0.000 0.000 0.000 x4
Zn1 0.250 0.250 0.250 x4
Hg1 0.000 0.000 0.500 x4



25.
The following is a DFT calculation (PBE) of a relaxed GdZnHg crystal.

Properties
Energy of formation   -0.28 eV per atom
Total energy   -5.50 eV/atom
Theoretical density   10.24 g cm⁻³

a = 3.483 Å, b = 3.483 Å, c = 11.318 Å
α = 90.00°, β = 90.00°, γ = 90.00°
Space group I4mm (No. 107)
Unique sites:
Gd1 0.000 0.000 0.000 x2
Zn1 0.000 0.000 0.670 x2
Hg1 0.000 0.000 0.312 x2



26.
The following is a DFT calculation (PBE) of a relaxed GdZnHg crystal.

Properties
Energy of formation   -0.42 eV per atom
Total energy   -5.63 eV/atom
Theoretical density   10.24 g cm⁻³

a = 4.7241 Å, b = 4.7241 Å, c = 3.5515 Å
α = 90.00°, β = 90.00°, γ = 120.00°
Space group P-6m2 (No. 187)
Unique sites:
Gd1 0.0000 0.0000 0.0000 x1
Zn1 0.3333 0.6667 0.5000 x1
Hg1 0.6667 0.3333 0.5000 x1



27.
The following is a DFT calculation (PBE) of a relaxed GdZnHg2 crystal.

Properties
Energy of formation   -0.27 eV per atom
Total energy   -4.26 eV/atom
Theoretical density   11.09 g cm⁻³

a = 4.587 Å, b = 4.587 Å, c = 4.440 Å
α = 90.00°, β = 90.00°, γ = 90.00°
Space group P4/mmm (No. 123)
Unique sites:
Gd1 0.000 0.000 0.000 x1
Zn1 0.500 0.500 0.000 x1
Hg1 0.000 0.500 0.500 x2



28.
The following is a DFT calculation (PBE) of a relaxed GdZrZnHg crystal.

Properties
Energy of formation   -0.21 eV per atom
Total energy   -6.26 eV/atom
Theoretical density   9.37 g cm⁻³

a = 7.144 Å, b = 7.144 Å, c = 7.144 Å
α = 90.00°, β = 90.00°, γ = 90.00°
Space group F-43m (No. 216)
Unique sites:
Gd1 0.000 0.000 0.000 x4
Zr1 0.000 0.000 0.500 x4
Zn1 0.250 0.250 0.250 x4
Hg1 0.250 0.250 0.750 x4



29.
The following is a DFT calculation (PBE) of a relaxed Gd2ZrHg crystal.

Properties
Energy of formation   -0.07 eV per atom
Total energy   -9.33 eV/atom
Theoretical density   9.73 g cm⁻³

a = 4.690 Å, b = 4.690 Å, c = 4.704 Å
α = 90.00°, β = 90.00°, γ = 90.00°
Space group P4/mmm (No. 123)
Unique sites:
Gd1 0.000 0.500 0.000 x2
Zr1 0.000 0.000 0.500 x1
Hg1 0.500 0.500 0.500 x1



30.
The following is a DFT calculation (PBE) of a relaxed GdZr2Hg crystal.

Properties
Energy of formation   -0.05 eV per atom
Total energy   -7.92 eV/atom
Theoretical density   9.44 g cm⁻³

a = 4.555 Å, b = 4.555 Å, c = 4.580 Å
α = 90.00°, β = 90.00°, γ = 90.00°
Space group P4/mmm (No. 123)
Unique sites:
Gd1 0.000 0.000 0.000 x1
Zr1 0.000 0.500 0.500 x2
Hg1 0.500 0.500 0.000 x1



31.
The following is a DFT calculation (PBE) of a relaxed Gd2ZrHg crystal.

Properties
Energy of formation   0.20 eV per atom
Total energy   -9.06 eV/atom
Theoretical density   8.96 g cm⁻³

a = 3.3758 Å, b = 3.3758 Å, c = 34.1438 Å
α = 90.00°, β = 90.00°, γ = 120.00°
Space group R-3m (No. 166, hexagonal axes)
Unique sites:
Gd1 0.0000 0.0000 0.0912 x6
Zr1 0.0000 0.0000 0.0000 x3
Hg1 0.0000 0.0000 0.5000 x3